Entry 1:
VASP calculation (PBE) on a relaxed CaCoAs2Pd crystal.

Output
- Formation energy from the elements: -0.60 eV/atom
- Total magnetization: 1.38 μB/f.u.
- Electronic total energy: -53.176 eV for the cell shown
- Calculated density: 6.5 Mg/m³

Cell and atoms, written as CIF:
```
data_CaCoAs2Pd
_chemical_formula_sum 'Ca2 Co2 As4 Pd2'
_symmetry_space_group_name_H-M 'I -4 m 2'
_symmetry_Int_Tables_number 119
_symmetry_space_group_name_Hall 'I -4 -2'
_cell_length_a 4.167
_cell_length_b 4.167
_cell_length_c 10.443
_cell_angle_alpha 90.00
_cell_angle_beta 90.00
_cell_angle_gamma 90.00
loop_
_atom_site_label
_atom_site_fract_x
_atom_site_fract_y
_atom_site_fract_z
Ca1 0.000 0.000 0.000
Co1 0.000 0.500 0.250
As1 0.000 0.000 0.376
Pd1 0.000 0.500 0.750
```



Entry 2:
VASP calculation (PBE) on a relaxed CaCoAs2Ru crystal.

Output
- Formation energy from the elements: -0.61 eV/atom
- Total magnetization: 0.00 μB/f.u.
- Electronic total energy: -61.449 eV for the cell shown
- Calculated density: 6.5 Mg/m³

Cell and atoms, written as CIF:
```
data_CaCoAs2Ru
_chemical_formula_sum 'Ca2 Co2 As4 Ru2'
_symmetry_space_group_name_H-M 'I -4 m 2'
_symmetry_Int_Tables_number 119
_symmetry_space_group_name_Hall 'I -4 -2'
_cell_length_a 3.991
_cell_length_b 3.991
_cell_length_c 11.290
_cell_angle_alpha 90.00
_cell_angle_beta 90.00
_cell_angle_gamma 90.00
loop_
_atom_site_label
_atom_site_fract_x
_atom_site_fract_y
_atom_site_fract_z
Ca1 0.000 0.000 0.000
Co1 0.000 0.500 0.250
As1 0.000 0.000 0.367
Ru1 0.000 0.500 0.750
```



Entry 3:
VASP calculation (PBE) on a relaxed CaCoAs2Se crystal.

Output
- Total magnetization: 2.04 μB/f.u.
- E_form (uncorrected): 1.09 eV per atom
- Electronic total energy: -16.423 eV for the cell shown
- Calculated density: 3.6 Mg/m³
- Relative energy among the computed polymorphs: 1427.1 meV per atom

Cell and atoms, written as CIF:
```
data_CaCoAs2Se
_chemical_formula_sum 'Ca1 Co1 As2 Se1'
_symmetry_space_group_name_H-M 'P 4/m m m'
_symmetry_Int_Tables_number 123
_symmetry_space_group_name_Hall '-P 4 2'
_cell_length_a 5.356
_cell_length_b 5.356
_cell_length_c 5.284
_cell_angle_alpha 90.00
_cell_angle_beta 90.00
_cell_angle_gamma 90.00
loop_
_atom_site_label
_atom_site_fract_x
_atom_site_fract_y
_atom_site_fract_z
Ca1 0.000 0.000 0.000
Co1 0.500 0.500 0.500
As1 0.000 0.500 0.000
Se1 0.000 0.000 0.500
```